No. 1
A plane-wave DFT calculation with PBE-GGA was carried out for MgRuS2O after structural relaxation.

For the formation energy without anion corrections, the calculation gives 6.76 eV/f.u.

```
MgRuS2O
1.0
4.5530 0.0000 0.0000
0.0000 4.5530 0.0000
0.0000 0.0000 5.3754
Mg Ru S O
1 1 2 1
direct
0.0000 0.0000 0.0000 Mg
0.0000 0.0000 0.5000 Ru
0.0000 0.5000 0.0000 S
0.5000 0.0000 0.0000 S
0.5000 0.5000 0.5000 O
```



No. 2
A plane-wave DFT calculation with PBE-GGA was carried out for TcTeMo after structural relaxation.

For the formation energy without anion corrections, the calculation gives 1.32 eV/f.u. As for the excess energy over the best structure of this formula in the dataset: 0.2427 eV per atom.

```
TcTeMo
1.0
3.2443 0.0000 0.0000
-1.6222 2.8097 0.0000
0.0000 0.0000 12.2409
Tc Te Mo
2 2 2
direct
0.0000 0.0000 0.1431 Tc
0.0000 0.0000 0.8569 Tc
0.6667 0.3333 0.3355 Te
0.6667 0.3333 0.6645 Te
0.3333 0.6667 0.0000 Mo
0.3333 0.6667 0.5000 Mo
```



No. 3
A plane-wave DFT calculation with PBE-GGA was carried out for Tl2CrTe4Au after structural relaxation.

For the formation energy without anion corrections, the calculation gives -0.97 eV/f.u.

```
Tl2CrTe4Au
1.0
0.0000 7.2024 11.9397
3.0538 0.0000 11.9397
3.0538 7.2024 0.0000
Tl Cr Te Au
4 2 8 2
direct
0.0571 0.0571 0.6929 Tl
0.3071 0.3071 0.9429 Tl
0.6929 0.6929 0.0571 Tl
0.9429 0.9429 0.3071 Tl
0.1250 0.1250 0.1250 Cr
0.8750 0.8750 0.8750 Cr
0.0814 0.2934 0.3825 Te
0.2574 0.6175 0.7066 Te
0.2934 0.0814 0.7426 Te
0.3825 0.7426 0.0814 Te
0.6175 0.2574 0.9186 Te
0.7066 0.9186 0.2574 Te
0.7426 0.3825 0.2934 Te
0.9186 0.7066 0.6175 Te
0.3750 0.3750 0.3750 Au
0.6250 0.6250 0.6250 Au
```



no.,calculated volume (A^3/atom),uncorrected energy (eV/atom)
1,22.29,-3.46
2,18.60,-7.67
3,32.83,-3.90